Compound: Nb2InAu
Source: OQMD
Functional: PBE
Structure: optimized geometry

```
16
Lattice="6.723 0.000 0.000 0.000 6.723 0.000 0.000 0.000 6.723" Properties=species:S:1:pos:R:3 pbc="T T T"
Nb 0.000 0.000 0.000
Nb 0.000 3.362 3.362
Nb 1.681 1.681 1.681
Nb 1.681 5.043 5.043
Nb 3.362 0.000 3.362
Nb 3.362 3.362 0.000
Nb 5.043 1.681 5.043
Nb 5.043 5.043 1.681
In 0.000 0.000 3.362
In 0.000 3.362 0.000
In 3.362 0.000 0.000
In 3.362 3.362 3.362
Au 1.681 1.681 5.043
Au 1.681 5.043 1.681
Au 5.043 1.681 1.681
Au 5.043 5.043 5.043
```

- M_tot: 0.002 μB per atom
- Total energy: -100.7 eV for the cell shown
- Crystal system: cubic



Compound: Pr2NdNi2C2N3
Source: OQMD
Functional: PBE
Structure: optimized geometry

```
10
Lattice="-1.810 1.810 10.018 1.810 -1.810 10.018 1.810 1.810 -10.018" Properties=species:S:1:pos:R:3 pbc="T T T"
Pr 0.000 0.000 2.575
Pr 0.000 0.000 17.461
Nd 0.000 0.000 10.018
Ni 1.810 0.000 5.009
Ni 0.000 1.810 5.009
C 0.000 0.000 6.160
C 0.000 0.000 13.876
N 0.000 0.000 0.000
N 0.000 0.000 7.545
N 0.000 0.000 12.491
```

- M_tot: 0.003 μB per atom
- Total energy: -75.8 eV for the cell shown
- Crystal system: tetragonal



Compound: FeBiIrW
Source: OQMD
Functional: PBE
Structure: optimized geometry

```
16
Lattice="6.479 0.000 0.000 0.000 6.479 0.000 0.000 0.000 6.479" Properties=species:S:1:pos:R:3 pbc="T T T"
Fe 0.000 0.000 0.000
Fe 0.000 3.240 3.240
Fe 3.240 0.000 3.240
Fe 3.240 3.240 0.000
Bi 1.620 1.620 4.859
Bi 1.620 4.859 1.620
Bi 4.859 1.620 1.620
Bi 4.859 4.859 4.859
Ir 0.000 0.000 3.240
Ir 0.000 3.240 0.000
Ir 3.240 0.000 0.000
Ir 3.240 3.240 3.240
W 1.620 1.620 1.620
W 1.620 4.859 4.859
W 4.859 1.620 4.859
W 4.859 4.859 1.620
```

- Excess energy over the best structure of this formula in the dataset: 0.0163 eV per atom
- M_tot: 0.621 μB per atom
- Total energy: -125.5 eV for the cell shown
- Crystal system: cubic



Compound: LiBeCoB
Source: OQMD
Functional: PBE
Structure: optimized geometry

```
16
Lattice="5.058 0.000 0.000 0.000 5.058 0.000 0.000 0.000 5.058" Properties=species:S:1:pos:R:3 pbc="T T T"
Li 0.000 0.000 0.000
Li 0.000 2.529 2.529
Li 2.529 0.000 2.529
Li 2.529 2.529 0.000
Be 1.265 1.265 1.265
Be 1.265 3.794 3.794
Be 3.794 1.265 3.794
Be 3.794 3.794 1.265
Co 0.000 0.000 2.529
Co 0.000 2.529 0.000
Co 2.529 0.000 0.000
Co 2.529 2.529 2.529
B 1.265 1.265 3.794
B 1.265 3.794 1.265
B 3.794 1.265 1.265
B 3.794 3.794 3.794
```

- Excess energy over the best structure of this formula in the dataset: 0.0000 eV per atom
- M_tot: 0.000 μB per atom
- Total energy: -77.3 eV for the cell shown
- Crystal system: cubic